DFT (PBE with a Hubbard U) results for crystalline Li3Ti2Co3O10 at its relaxed geometry.

CIF file:
```
data_Li3Ti2Co3O10
_chemical_formula_sum 'Li3 Ti2 Co3 O10'
_cell_length_a 5.166
_cell_length_b 5.170
_cell_length_c 7.772
_cell_angle_alpha 74.23
_cell_angle_beta 73.09
_cell_angle_gamma 75.73
_space_group_name_H-M_alt 'P -1'
_space_group_IT_number 2
_space_group_name_Hall '-P 1'
loop_
_atom_site_label
_atom_site_fract_x
_atom_site_fract_y
_atom_site_fract_z
_atom_site_occupancy
Li1 0.000 0.000 0.000 1
Li2 0.462 0.689 0.124 1
Ti1 0.025 0.377 0.191 1
Co1 0.043 0.195 0.597 1
Co2 0.500 0.500 0.500 1
O1 0.183 0.024 0.175 1
O2 0.211 0.807 0.556 1
O3 0.217 0.596 0.977 1
O4 0.226 0.450 0.350 1
O5 0.271 0.294 0.710 1
```

total moment	9.99	μB per formula unit
electronic total energy	-120.3	eV/cell